--- P ---
## TlCd2Si (PBE)

Data for a relaxed structure of TlCd2Si.

Cell: 4.6576 4.6576 8.5546 Å, 90.00 90.00 90.00°
Space group I4/mmm (No. 139)
Asymmetric unit:
Tl 0.0000 0.0000 0.0000 (multiplicity 2)
Cd 0.0000 0.5000 0.2500 (multiplicity 4)
Si 0.0000 0.0000 0.5000 (multiplicity 2)

Calculated values
total moment: 0.0 μB/f.u.

=====

--- Q ---
## TlCd2Si (PBE)

Data for a relaxed structure of TlCd2Si.

Cell: 12.8723 2.9083 5.6746 Å, 90.00 116.09 90.00°
Space group C2/m (No. 12)
Asymmetric unit:
Tl 0.0000 0.0000 0.0000 (multiplicity 2)
Cd 0.2235 0.0000 0.7235 (multiplicity 4)
Si 0.0000 0.5000 0.5000 (multiplicity 2)

Calculated values
total moment: 0.0 μB/f.u.

=====

--- R ---
## TlCd2Si (PBE)

Data for a relaxed structure of TlCd2Si.

Cell: 7.2310 7.2310 7.2310 Å, 90.00 90.00 90.00°
Space group Fm-3m (No. 225)
Asymmetric unit:
Tl 0.0000 0.0000 0.0000 (multiplicity 4)
Cd 0.2500 0.2500 0.2500 (multiplicity 8)
Si 0.0000 0.0000 0.5000 (multiplicity 4)

Calculated values
total moment: 0.0 μB/f.u.

=====

--- S ---
## TlCd2Si (PBE)

Data for a relaxed structure of TlCd2Si.

Cell: 3.1064 5.3977 5.7836 Å, 90.00 102.81 90.00°
Space group P2/m (No. 10)
Asymmetric unit:
Tl 0.0000 0.0000 0.0000 (multiplicity 1)
Cd 0.3295 0.5000 0.7327 (multiplicity 2)
Si 0.0000 0.0000 0.5000 (multiplicity 1)

Calculated values
total moment: 0.0 μB/f.u.

=====

The winner here is Q, beating the second structure by 30 meV per atom.

=====

--- P ---
## TlCd2Si (PBE)

Data for a relaxed structure of TlCd2Si.

Cell: 5.6861 5.6861 2.9358 Å, 90.00 90.00 90.00°
Space group P4/mmm (No. 123)
Asymmetric unit:
Tl 0.0000 0.0000 0.0000 (multiplicity 1)
Cd 0.0000 0.5000 0.5000 (multiplicity 2)
Si 0.5000 0.5000 0.0000 (multiplicity 1)

Calculated values
total moment: 0.0 μB/f.u.

=====

--- Q ---
## TlCd2Si (PBE)

Data for a relaxed structure of TlCd2Si.

Cell: 3.3548 3.3548 8.3510 Å, 90.00 90.00 90.00°
Space group P4/mmm (No. 123)
Asymmetric unit:
Tl 0.0000 0.0000 0.0000 (multiplicity 1)
Cd 0.5000 0.5000 0.2914 (multiplicity 2)
Si 0.0000 0.0000 0.5000 (multiplicity 1)

Calculated values
total moment: 0.0 μB/f.u.

=====

--- R ---
## TlCd2Si (PBE)

Data for a relaxed structure of TlCd2Si.

Cell: 3.0846 4.1926 7.3158 Å, 90.00 90.00 90.00°
Space group Pmm2 (No. 25)
Asymmetric unit:
Tl 0.0000 0.0000 0.0000 (multiplicity 1)
Cd 0.0000 0.0000 0.5393 (multiplicity 1)
Cd 0.5000 0.5000 0.2952 (multiplicity 1)
Si 0.5000 0.5000 0.7265 (multiplicity 1)

Calculated values
total moment: 0.0 μB/f.u.

=====

The winner here is Q, beating the second structure by 20 meV per atom.

=====

--- P ---
## TlCd2Si (PBE)

Data for a relaxed structure of TlCd2Si.

Cell: 3.1224 4.1707 7.4368 Å, 90.00 101.23 90.00°
Space group Pm (No. 6)
Asymmetric unit:
Tl 0.0000 0.0000 0.0000 (multiplicity 1)
Cd 0.2566 0.0000 0.5348 (multiplicity 1)
Cd 0.6331 0.5000 0.2831 (multiplicity 1)
Si 0.8378 0.5000 0.7006 (multiplicity 1)

Calculated values
total moment: 0.0 μB/f.u.

=====

--- Q ---
## TlCd2Si (PBE)

Data for a relaxed structure of TlCd2Si.

Cell: 5.1412 5.1412 16.9785 Å, 90.00 90.00 90.00°
Space group I-42d (No. 122)
Asymmetric unit:
Tl 0.0000 0.0000 0.0000 (multiplicity 4)
Cd 0.1620 0.2500 0.6250 (multiplicity 8)
Si 0.0000 0.0000 0.5000 (multiplicity 4)

Calculated values
total moment: 0.0 μB/f.u.

=====

The winner here is P, beating the second structure by 64 meV per atom.

=====

--- P ---
## TlCd2Si (PBE)

Data for a relaxed structure of TlCd2Si.

Cell: 4.6504 4.6504 8.6019 Å, 90.00 90.00 90.00°
Space group I-4m2 (No. 119)
Asymmetric unit:
Tl 0.0000 0.0000 0.0000 (multiplicity 2)
Cd 0.0000 0.0000 0.5000 (multiplicity 2)
Cd 0.0000 0.5000 0.7500 (multiplicity 2)
Si 0.0000 0.5000 0.2500 (multiplicity 2)

Calculated values
total moment: 0.0 μB/f.u.

=====

--- Q ---
## TlCd2Si (PBE)

Data for a relaxed structure of TlCd2Si.

Cell: 3.0560 5.4893 5.5803 Å, 90.00 90.00 90.00°
Space group Pmmm (No. 47)
Asymmetric unit:
Tl 0.0000 0.0000 0.0000 (multiplicity 1)
Cd 0.0000 0.5000 0.5000 (multiplicity 1)
Cd 0.5000 0.0000 0.5000 (multiplicity 1)
Si 0.5000 0.5000 0.0000 (multiplicity 1)

Calculated values
total moment: 0.0 μB/f.u.

=====

The winner here is P, beating the second structure by 8 meV per atom.

=====

--- P ---
## Tl2CdSi (PBE)

Data for a relaxed structure of Tl2CdSi.

Cell: 3.3700 3.6977 8.2490 Å, 90.00 90.00 90.00°
Space group Pmm2 (No. 25)
Asymmetric unit:
Tl 0.0000 0.0000 0.0000 (multiplicity 1)
Tl 0.5000 0.5000 0.3175 (multiplicity 1)
Cd 0.0000 0.0000 0.5859 (multiplicity 1)
Si 0.5000 0.5000 0.7598 (multiplicity 1)

Calculated values
total moment: 0.0 μB/f.u.

=====

--- Q ---
## Tl2CdSi (PBE)

Data for a relaxed structure of Tl2CdSi.

Cell: 3.3471 3.3471 9.0700 Å, 90.00 90.00 90.00°
Space group P4/mmm (No. 123)
Asymmetric unit:
Tl 0.0000 0.0000 0.2311 (multiplicity 2)
Cd 0.5000 0.5000 0.5000 (multiplicity 1)
Si 0.5000 0.5000 0.0000 (multiplicity 1)

Calculated values
total moment: 0.0 μB/f.u.

=====

--- R ---
## Tl2CdSi (PBE)

Data for a relaxed structure of Tl2CdSi.

Cell: 6.5319 10.5119 3.0811 Å, 90.00 104.88 90.00°
Space group C2/m (No. 12)
Asymmetric unit:
Tl 0.2500 0.2500 0.0000 (multiplicity 4)
Cd 0.0000 0.0000 0.5000 (multiplicity 2)
Si 0.0000 0.5000 0.5000 (multiplicity 2)

Calculated values
total moment: 0.0 μB/f.u.

=====

The winner here is P, beating the second structure by 60 meV per atom.

=====

--- P ---
## Tl2CdSi2 (PBE)

Data for a relaxed structure of Tl2CdSi2.

Cell: 5.0562 5.0562 10.0857 Å, 90.00 90.00 90.00°
Space group I4/mmm (No. 139)
Asymmetric unit:
Tl 0.0000 0.5000 0.2500 (multiplicity 4)
Cd 0.0000 0.0000 0.0000 (multiplicity 2)
Si 0.0000 0.0000 0.3850 (multiplicity 4)

Calculated values
total moment: 0.0 μB/f.u.

=====

--- Q ---
## Tl2CdSi2 (PBE)

Data for a relaxed structure of Tl2CdSi2.

Cell: 7.0344 7.0344 4.9001 Å, 90.00 90.00 90.00°
Space group P4/mbm (No. 127)
Asymmetric unit:
Tl 0.1841 0.3159 0.0000 (multiplicity 4)
Cd 0.0000 0.0000 0.5000 (multiplicity 2)
Si 0.1183 0.6183 0.5000 (multiplicity 4)

Calculated values
total moment: 0.0 μB/f.u.

=====

--- R ---
## Tl2CdSi2 (PBE)

Data for a relaxed structure of Tl2CdSi2.

Cell: 3.4837 3.4837 20.5361 Å, 90.00 90.00 90.00°
Space group I4/mmm (No. 139)
Asymmetric unit:
Tl 0.0000 0.0000 0.1183 (multiplicity 4)
Cd 0.0000 0.0000 0.5000 (multiplicity 2)
Si 0.0000 0.5000 0.2500 (multiplicity 4)

Calculated values
total moment: 0.0 μB/f.u.

=====

The winner here is R, beating the second structure by 94 meV per atom.